Arrangement i

PBEsol Sc5Re, optimized geometry; SG = No. 12; size of the total moment = 0.0002 μB/atom
1.0
11.0832 0.0000 0.0000
0.0000 3.3487 0.0000
-2.6944 0.0000 6.9366
Sc Re
10 2
Direct
0.0000 0.0000 0.0000
0.1386 0.5000 0.3612
0.1597 0.5000 0.7865
0.3403 0.0000 0.2135
0.3614 0.0000 0.6388
0.5000 0.5000 0.0000
0.6386 0.0000 0.3612
0.6597 0.0000 0.7865
0.8403 0.5000 0.2135
0.8614 0.5000 0.6388
0.0000 0.0000 0.5000
0.5000 0.5000 0.5000



Arrangement ii

PBEsol Sc5Re, optimized geometry; SG = No. 216; size of the total moment = 0.3707 μB/atom
1.0
0.0000 3.9334 3.9334
3.9334 0.0000 3.9334
3.9334 3.9334 0.0000
Sc Re
5 1
Direct
0.0000 0.0000 0.0000
0.1304 0.6232 0.6232
0.6232 0.1304 0.6232
0.6232 0.6232 0.1304
0.6232 0.6232 0.6232
0.2500 0.2500 0.2500



Q: Which of them is the most stable? A: arrangement i.



Arrangement i

PBEsol SrSc2Re, optimized geometry; SG = No. 71; size of the total moment = 0.0000 μB/atom
1.0
4.2614 0.0000 0.0000
0.0000 5.3795 0.0000
0.0000 0.0000 7.6506
Sr Sc Re
2 4 2
Direct
0.0000 0.0000 0.0000
0.5000 0.5000 0.5000
0.0000 0.5000 0.2142
0.0000 0.5000 0.7858
0.5000 0.0000 0.2858
0.5000 0.0000 0.7142
0.0000 0.0000 0.5000
0.5000 0.5000 0.0000



Arrangement ii

PBEsol SrSc2Re, optimized geometry; SG = No. 99; size of the total moment = 0.0001 μB/atom
1.0
3.6068 0.0000 0.0000
0.0000 3.6068 0.0000
0.0000 0.0000 7.6747
Sr Sc Re
1 2 1
Direct
0.0000 0.0000 0.0000
0.0000 0.0000 0.4077
0.5000 0.5000 0.6276
0.5000 0.5000 0.2858



Q: Which of them is the most stable? A: arrangement ii.



Arrangement i

PBEsol SrScRe2, optimized geometry; SG = No. 123; size of the total moment = 0.0000 μB/atom
1.0
3.8716 0.0000 0.0000
0.0000 3.8716 0.0000
0.0000 0.0000 4.9376
Sr Sc Re
1 1 2
Direct
0.0000 0.0000 0.0000
0.5000 0.5000 0.0000
0.0000 0.5000 0.5000
0.5000 0.0000 0.5000



Arrangement ii

PBEsol SrScRe2, optimized geometry; SG = No. 12; size of the total moment = 0.0001 μB/atom
1.0
9.6415 0.0000 0.0000
0.0000 3.6832 0.0000
-1.6142 0.0000 5.6647
Sr Sc Re
2 2 4
Direct
0.0000 0.0000 0.0000
0.5000 0.5000 0.0000
0.0000 0.5000 0.5000
0.5000 0.0000 0.5000
0.2482 0.0000 0.6244
0.2518 0.5000 0.3756
0.7482 0.5000 0.6244
0.7518 0.0000 0.3756



Q: Which of them is the most stable? A: arrangement ii.



Arrangement i

PBEsol ScReTc, optimized geometry; SG = No. 42; size of the total moment = 0.0000 μB/atom
1.0
3.1073 0.0000 0.0000
0.0000 4.5273 0.0000
0.0000 0.0000 13.3695
Sc Re Tc
4 4 4
Direct
0.0000 0.0000 0.0000
0.0000 0.5000 0.5000
0.5000 0.0000 0.5000
0.5000 0.5000 0.0000
0.0000 0.0000 0.3251
0.0000 0.5000 0.8251
0.5000 0.0000 0.8251
0.5000 0.5000 0.3251
0.0000 0.0000 0.6704
0.0000 0.5000 0.1704
0.5000 0.0000 0.1704
0.5000 0.5000 0.6704



Arrangement ii

PBEsol ScReTc, optimized geometry; SG = No. 156; size of the total moment = 0.0000 μB/atom
1.0
4.3761 0.0000 0.0000
-2.1880 3.7898 0.0000
0.0000 0.0000 2.8018
Sc Re Tc
1 1 1
Direct
0.0000 0.0000 0.0000
0.6667 0.3333 0.3692
0.3333 0.6667 0.6616



Q: Which of them is the most stable? A: arrangement ii.



Arrangement i

PBEsol ScRe2Tc, optimized geometry; SG = No. 44; size of the total moment = 0.0000 μB/atom
1.0
3.0927 0.0000 0.0000
0.0000 4.4518 0.0000
0.0000 0.0000 8.8542
Sc Re Tc
2 4 2
Direct
0.0000 0.0000 0.0000
0.5000 0.5000 0.5000
0.0000 0.0000 0.5003
0.0000 0.5000 0.7596
0.5000 0.0000 0.2596
0.5000 0.5000 0.0003
0.0000 0.5000 0.2440
0.5000 0.0000 0.7440



Arrangement ii

PBEsol ScRe2Tc, optimized geometry; SG = No. 71; size of the total moment = 0.0001 μB/atom
1.0
3.0876 0.0000 0.0000
0.0000 4.3824 0.0000
0.0000 0.0000 8.9949
Sc Re Tc
2 4 2
Direct
0.0000 0.0000 0.0000
0.5000 0.5000 0.5000
0.0000 0.5000 0.2431
0.0000 0.5000 0.7569
0.5000 0.0000 0.2569
0.5000 0.0000 0.7431
0.0000 0.0000 0.5000
0.5000 0.5000 0.0000



Arrangement iii

PBEsol ScRe2Tc, optimized geometry; SG = No. 6; size of the total moment = 0.0000 μB/atom
1.0
2.7586 0.0000 0.0000
0.0000 4.3668 0.0000
-0.9209 0.0000 5.0495
Sc Re Tc
1 2 1
Direct
0.0000 0.0000 0.0000
0.2708 0.5000 0.7395
0.5003 0.0000 0.4994
0.7483 0.5000 0.2437



Q: Which of them is the most stable? A: arrangement ii.



Arrangement i

PBEsol ScTl2Re, optimized geometry; SG = No. 6; size of the total moment = 0.0000 μB/atom
1.0
3.1457 0.0000 0.0000
0.0000 4.4708 0.0000
-1.4688 0.0000 5.7042
Sc Tl Re
1 2 1
Direct
0.0000 0.0000 0.0000
0.0825 0.0000 0.5354
0.5822 0.5000 0.2460
0.5806 0.5000 0.7619



Arrangement ii

PBEsol ScTl2Re, optimized geometry; SG = No. 119; size of the total moment = 0.0000 μB/atom
1.0
4.1775 0.0000 0.0000
0.0000 4.1775 0.0000
0.0000 0.0000 8.8816
Sc Tl Re
2 4 2
Direct
0.0000 0.0000 0.0000
0.5000 0.5000 0.5000
0.0000 0.0000 0.5000
0.0000 0.5000 0.2500
0.5000 0.0000 0.7500
0.5000 0.5000 0.0000
0.0000 0.5000 0.7500
0.5000 0.0000 0.2500



Arrangement iii

PBEsol ScTl2Re, optimized geometry; SG = No. 139; size of the total moment = 0.0285 μB/atom
1.0
4.3392 0.0000 0.0000
0.0000 4.3392 0.0000
0.0000 0.0000 8.1449
Sc Tl Re
2 4 2
Direct
0.0000 0.0000 0.0000
0.5000 0.5000 0.5000
0.0000 0.5000 0.2500
0.0000 0.5000 0.7500
0.5000 0.0000 0.2500
0.5000 0.0000 0.7500
0.0000 0.0000 0.5000
0.5000 0.5000 0.0000



Q: Which of them is the most stable? A: arrangement iii.



Arrangement i

PBEsol ZrSc2Re, optimized geometry; SG = No. 25; size of the total moment = 0.0002 μB/atom
1.0
2.8390 0.0000 0.0000
0.0000 4.6364 0.0000
0.0000 0.0000 5.7998
Zr Sc Re
1 2 1
Direct
0.0000 0.0000 0.0000
0.0000 0.0000 0.4648
0.5000 0.5000 0.7301
0.5000 0.5000 0.2309



Arrangement ii

PBEsol ZrSc2Re, optimized geometry; SG = No. 123; size of the total moment = 0.0001 μB/atom
1.0
3.1869 0.0000 0.0000
0.0000 3.1869 0.0000
0.0000 0.0000 7.7829
Zr Sc Re
1 2 1
Direct
0.0000 0.0000 0.0000
0.5000 0.5000 0.2976
0.5000 0.5000 0.7024
0.0000 0.0000 0.5000



Arrangement iii

PBEsol ZrSc2Re, optimized geometry; SG = No. 99; size of the total moment = 0.0014 μB/atom
1.0
3.3064 0.0000 0.0000
0.0000 3.3064 0.0000
0.0000 0.0000 7.4058
Zr Sc Re
1 2 1
Direct
0.0000 0.0000 0.0000
0.0000 0.0000 0.4100
0.5000 0.5000 0.7271
0.5000 0.5000 0.1990



Q: Which of them is the most stable? A: arrangement iii.



Arrangement i

PBEsol ReSe, optimized geometry; SG = No. 63; size of the total moment = 0.0000 μB/atom
1.0
2.9352 0.0000 0.0000
0.0000 13.1893 0.0000
0.0000 0.0000 3.9042
Re Se
4 4
Direct
0.0000 0.2063 0.2500
0.0000 0.7937 0.7500
0.5000 0.2937 0.7500
0.5000 0.7063 0.2500
0.0000 0.3886 0.2500
0.0000 0.6114 0.7500
0.5000 0.1114 0.7500
0.5000 0.8886 0.2500



Arrangement ii

PBEsol ReSe, optimized geometry; SG = No. 194; size of the total moment = 0.0000 μB/atom
1.0
3.9555 0.0000 0.0000
-1.9777 3.4256 0.0000
0.0000 0.0000 5.0662
Re Se
2 2
Direct
0.0000 0.0000 0.0000
0.0000 0.0000 0.5000
0.3333 0.6667 0.2500
0.6667 0.3333 0.7500



Arrangement iii

PBEsol ReSe, optimized geometry; SG = No. 65; size of the total moment = 0.0000 μB/atom
1.0
2.9635 0.0000 0.0000
0.0000 5.2777 0.0000
0.0000 0.0000 4.1059
Re Se
2 2
Direct
0.0000 0.0000 0.0000
0.5000 0.5000 0.0000
0.0000 0.5000 0.5000
0.5000 0.0000 0.5000



Arrangement iv

PBEsol ReSe, optimized geometry; SG = No. 227; size of the total moment = 0.0001 μB/atom
1.0
6.3368 0.0000 0.0000
0.0000 6.3368 0.0000
0.0000 0.0000 6.3368
Re Se
8 8
Direct
0.1250 0.1250 0.1250
0.1250 0.6250 0.6250
0.3750 0.3750 0.8750
0.3750 0.8750 0.3750
0.6250 0.1250 0.6250
0.6250 0.6250 0.1250
0.8750 0.3750 0.3750
0.8750 0.8750 0.8750
0.1250 0.1250 0.6250
0.1250 0.6250 0.1250
0.3750 0.3750 0.3750
0.3750 0.8750 0.8750
0.6250 0.1250 0.1250
0.6250 0.6250 0.6250
0.8750 0.3750 0.8750
0.8750 0.8750 0.3750



Q: Which of them is the most stable? A: arrangement i.



Arrangement i

PBEsol Re2SiSe, optimized geometry; SG = No. 122; size of the total moment = 0.0005 μB/atom
1.0
5.5997 0.0000 0.0000
0.0000 5.5997 0.0000
0.0000 0.0000 10.2127
Re Si Se
8 4 4
Direct
0.2459 0.2500 0.1250
0.2500 0.7459 0.3750
0.2500 0.7541 0.8750
0.2541 0.2500 0.6250
0.7459 0.7500 0.6250
0.7500 0.2459 0.8750
0.7500 0.2541 0.3750
0.7541 0.7500 0.1250
0.0000 0.0000 0.0000
0.0000 0.5000 0.2500
0.5000 0.0000 0.7500
0.5000 0.5000 0.5000
0.0000 0.0000 0.5000
0.0000 0.5000 0.7500
0.5000 0.0000 0.2500
0.5000 0.5000 0.0000



Arrangement ii

PBEsol Re2SiSe, optimized geometry; SG = No. 71; size of the total moment = 0.0000 μB/atom
1.0
2.8721 0.0000 0.0000
0.0000 4.2027 0.0000
0.0000 0.0000 10.1356
Re Si Se
4 2 2
Direct
0.0000 0.0000 0.2000
0.0000 0.0000 0.8000
0.5000 0.5000 0.3000
0.5000 0.5000 0.7000
0.0000 0.5000 0.5000
0.5000 0.0000 0.0000
0.0000 0.5000 0.0000
0.5000 0.0000 0.5000



Arrangement iii

PBEsol Re2SiSe, optimized geometry; SG = No. 47; size of the total moment = 0.0000 μB/atom
1.0
2.9495 0.0000 0.0000
0.0000 4.0643 0.0000
0.0000 0.0000 4.9633
Re Si Se
2 1 1
Direct
0.0000 0.0000 0.0000
0.5000 0.0000 0.5000
0.0000 0.5000 0.5000
0.5000 0.5000 0.0000



Arrangement iv

PBEsol Re2SiSe, optimized geometry; SG = No. 123; size of the total moment = 0.0000 μB/atom
1.0
4.2931 0.0000 0.0000
0.0000 4.2931 0.0000
0.0000 0.0000 3.0027
Re Si Se
2 1 1
Direct
0.0000 0.5000 0.0000
0.5000 0.0000 0.0000
0.0000 0.0000 0.5000
0.5000 0.5000 0.5000



Q: Which of them is the most stable? A: arrangement iv.



Arrangement i

PBEsol Tl2ReSe, optimized geometry; SG = No. 139; size of the total moment = 0.6415 μB/atom
1.0
4.1224 0.0000 0.0000
0.0000 4.1224 0.0000
0.0000 0.0000 10.0503
Tl Re Se
4 2 2
Direct
0.0000 0.5000 0.2500
0.0000 0.5000 0.7500
0.5000 0.0000 0.2500
0.5000 0.0000 0.7500
0.0000 0.0000 0.0000
0.5000 0.5000 0.5000
0.0000 0.0000 0.5000
0.5000 0.5000 0.0000



Arrangement ii

PBEsol Tl2ReSe, optimized geometry; SG = No. 123; size of the total moment = 0.0002 μB/atom
1.0
3.5632 0.0000 0.0000
0.0000 3.5632 0.0000
0.0000 0.0000 6.3405
Tl Re Se
2 1 1
Direct
0.0000 0.0000 0.2329
0.0000 0.0000 0.7671
0.5000 0.5000 0.0000
0.5000 0.5000 0.5000



Arrangement iii

PBEsol Tl2ReSe, optimized geometry; SG = No. 12; size of the total moment = 0.0001 μB/atom
1.0
6.5033 0.0000 0.0000
0.0000 8.4572 0.0000
-0.0076 0.0000 2.9324
Tl Re Se
4 2 2
Direct
0.2500 0.2500 0.0000
0.2500 0.7500 0.0000
0.7500 0.2500 0.0000
0.7500 0.7500 0.0000
0.0000 0.0000 0.5000
0.5000 0.5000 0.5000
0.0000 0.5000 0.5000
0.5000 0.0000 0.5000



Q: Which of them is the most stable? A: arrangement iii.



Arrangement i

PBEsol Re2Si, optimized geometry; SG = No. 164; size of the total moment = 0.0000 μB/atom
1.0
2.7750 0.0000 0.0000
-1.3875 2.4033 0.0000
0.0000 0.0000 6.2935
Re Si
2 1
Direct
0.3333 0.6667 0.3311
0.6667 0.3333 0.6689
0.0000 0.0000 0.0000



Arrangement ii

PBEsol Re2Si, optimized geometry; SG = No. 139; size of the total moment = 0.0000 μB/atom
1.0
2.9084 0.0000 0.0000
0.0000 2.9084 0.0000
0.0000 0.0000 9.5147
Re Si
4 2
Direct
0.0000 0.0000 0.1581
0.0000 0.0000 0.8419
0.5000 0.5000 0.3419
0.5000 0.5000 0.6581
0.0000 0.0000 0.5000
0.5000 0.5000 0.0000



Arrangement iii

PBEsol Re2Si, optimized geometry; SG = No. 12; size of the total moment = 0.0000 μB/atom
1.0
10.2693 0.0000 0.0000
0.0000 2.8893 0.0000
-1.3345 0.0000 5.5565
Re Si
8 4
Direct
0.0297 0.0000 0.2797
0.1865 0.5000 0.6377
0.3135 0.0000 0.3623
0.4703 0.5000 0.7203
0.5297 0.5000 0.2797
0.6865 0.0000 0.6377
0.8135 0.5000 0.3623
0.9703 0.0000 0.7203
0.1494 0.5000 0.0461
0.3506 0.0000 0.9539
0.6494 0.0000 0.0461
0.8506 0.5000 0.9539



Q: Which of them is the most stable? A: arrangement iii.